# KTaMo2

An optimized crystal structure of KTaMo2 (PBE-GGA, Alexandria).

- Distance to the lowest polymorph of the same formula: 0.836 eV/atom
- Energy of formation from the pure elements: 1.51 eV/atom
- Space-group type: No. 225
- Spin magnetization: 0.0 μB per formula unit

Cell: 4.751 4.751 4.751 Å, 60.00 60.00 60.00°
Element x y z (fractional)
K (0.000, 0.000, 0.000)
Ta (0.500, 0.500, 0.500)
Mo (0.250, 0.250, 0.250)
Mo (0.750, 0.750, 0.750)